## DyGeHIr2 (GGA-PBE)

Data for crystalline DyGeHIr2 at its relaxed geometry.

a b c (Å): 3.8961 10.7185 7.2690
angles (deg): 90.00 90.00 90.00
Space group Cmcm (No. 63)
Unique sites:
Dy 0.0000 0.0552 0.2500
Ge 0.0000 0.2265 0.7500
H 0.0000 0.5000 0.0000
Ir 0.0000 0.3432 0.0537

Output
- Size of the total moment: 0.0 μB/cell

## La2Dy4Ge3H2 (GGA-PBE)

Data for crystalline La2Dy4Ge3H2 at its relaxed geometry.

a b c (Å): 4.6217 4.6217 23.9233
angles (deg): 90.00 90.00 90.00
Space group I4/mmm (No. 139)
Unique sites:
La 0.0000 0.0000 0.2002
Dy 0.0000 0.5000 0.0785
Ge 0.0000 0.0000 0.3333
Ge 0.0000 0.0000 0.5000
H 0.0000 0.0000 0.0939

Output
- Size of the total moment: 0.0 μB/cell

## La2Dy2Ge2H (GGA-PBE)

Data for crystalline La2Dy2Ge2H at its relaxed geometry.

a b c (Å): 4.5376 4.5376 16.6211
angles (deg): 90.00 90.00 90.00
Space group I4/mmm (No. 139)
Unique sites:
La 0.0000 0.0000 0.1810
Dy 0.0000 0.5000 0.0000
Ge 0.0000 0.0000 0.3741
H 0.0000 0.0000 0.0000

Output
- Size of the total moment: 3.1 μB/cell

## Nd2Dy4Ge3H2 (GGA-PBE)

Data for crystalline Nd2Dy4Ge3H2 at its relaxed geometry.

a b c (Å): 4.5823 4.5823 23.7426
angles (deg): 90.00 90.00 90.00
Space group I4/mmm (No. 139)
Unique sites:
Nd 0.0000 0.0000 0.2008
Dy 0.0000 0.5000 0.0795
Ge 0.0000 0.0000 0.3310
Ge 0.0000 0.0000 0.5000
H 0.0000 0.0000 0.0963

Output
- Size of the total moment: 0.0 μB/cell

## Dy2Ni5Ge3H2 (GGA-PBE)

Data for crystalline Dy2Ni5Ge3H2 at its relaxed geometry.

a b c (Å): 3.9314 3.9314 20.5803
angles (deg): 90.00 90.00 90.00
Space group I4/mmm (No. 139)
Unique sites:
Dy 0.0000 0.0000 0.1933
Ni 0.0000 0.0000 0.0000
Ni 0.0000 0.5000 0.0797
Ge 0.0000 0.0000 0.3446
Ge 0.0000 0.0000 0.5000
H 0.0000 0.0000 0.0792

Output
- Size of the total moment: 0.0 μB/cell

## DyNiGeH (GGA-PBE)

Data for crystalline DyNiGeH at its relaxed geometry.

a b c (Å): 4.2062 4.2062 3.6403
angles (deg): 90.00 90.00 120.00
Space group P-6m2 (No. 187)
Unique sites:
Dy 0.0000 0.0000 0.0000
Ni 0.6667 0.3333 0.5000
Ge 0.3333 0.6667 0.5000
H 0.6667 0.3333 0.0000

Output
- Size of the total moment: 0.0 μB/cell

## DyNi2GeH (GGA-PBE)

Data for crystalline DyNi2GeH at its relaxed geometry.

a b c (Å): 3.7883 10.2622 6.8328
angles (deg): 90.00 90.00 90.00
Space group Cmcm (No. 63)
Unique sites:
Dy 0.0000 0.0592 0.2500
Ni 0.0000 0.3400 0.0571
Ge 0.0000 0.2241 0.7500
H 0.0000 0.5000 0.0000

Output
- Size of the total moment: 0.0 μB/cell

## Pm2Dy4Ge3H2 (GGA-PBE)

Data for crystalline Pm2Dy4Ge3H2 at its relaxed geometry.

a b c (Å): 4.5700 4.5700 23.6786
angles (deg): 90.00 90.00 90.00
Space group I4/mmm (No. 139)
Unique sites:
Pm 0.0000 0.0000 0.2009
Dy 0.0000 0.5000 0.0798
Ge 0.0000 0.0000 0.3302
Ge 0.0000 0.0000 0.5000
H 0.0000 0.0000 0.0971

Output
- Size of the total moment: 0.0 μB/cell

## PmDyGeH (GGA-PBE)

Data for crystalline PmDyGeH at its relaxed geometry.

a b c (Å): 4.3757 4.3757 8.4826
angles (deg): 90.00 90.00 90.00
Space group P4/nmm (No. 129, origin choice 2)
Unique sites:
Pm 0.2500 0.2500 0.1240
Dy 0.2500 0.7500 0.5000
Ge 0.2500 0.2500 0.7377
H 0.2500 0.7500 0.0000

Output
- Size of the total moment: 0.2 μB/cell

## Pr2Dy4Ge3H2 (GGA-PBE)

Data for crystalline Pr2Dy4Ge3H2 at its relaxed geometry.

a b c (Å): 4.5952 4.5952 23.8117
angles (deg): 90.00 90.00 90.00
Space group I4/mmm (No. 139)
Unique sites:
Pr 0.0000 0.0000 0.2007
Dy 0.0000 0.5000 0.0791
Ge 0.0000 0.0000 0.3319
Ge 0.0000 0.0000 0.5000
H 0.0000 0.0000 0.0952

Output
- Size of the total moment: 0.0 μB/cell

## DyGeHRh2 (GGA-PBE)

Data for crystalline DyGeHRh2 at its relaxed geometry.

a b c (Å): 3.6977 10.9111 7.3548
angles (deg): 90.00 90.00 90.00
Space group Cmcm (No. 63)
Unique sites:
Dy 0.0000 0.0456 0.2500
Ge 0.0000 0.2334 0.7500
H 0.0000 0.5000 0.0000
Rh 0.0000 0.3478 0.0530

Output
- Size of the total moment: 0.0 μB/cell

## Dy2GeHRh6 (GGA-PBE)

Data for crystalline Dy2GeHRh6 at its relaxed geometry.

a b c (Å): 6.0849 6.0849 8.5823
angles (deg): 90.00 90.00 90.00
Space group I4/mmm (No. 139)
Unique sites:
Dy 0.0000 0.5000 0.2500
Ge 0.0000 0.0000 0.0000
H 0.0000 0.0000 0.5000
Rh 0.0000 0.0000 0.2729
Rh 0.2276 0.2276 0.5000

Output
- Size of the total moment: 0.0 μB/cell

## Dy4GeHS2 (GGA-PBE)

Data for crystalline Dy4GeHS2 at its relaxed geometry.

a b c (Å): 7.8306 11.1401 7.8851
angles (deg): 90.00 90.00 90.00
Space group Fmm2 (No. 42)
Unique sites:
Dy 0.0000 0.2488 0.0000
Dy 0.2325 0.0000 0.7388
Ge 0.0000 0.0000 0.0074
H 0.0000 0.0000 0.5437
S 0.2500 0.2500 0.2492

Output
- Size of the total moment: 0.0 μB/cell

## Dy2Sc4Ge3H2 (GGA-PBE)

Data for crystalline Dy2Sc4Ge3H2 at its relaxed geometry.

a b c (Å): 4.2991 4.2991 22.5755
angles (deg): 90.00 90.00 90.00
Space group I4/mmm (No. 139)
Unique sites:
Dy 0.0000 0.0000 0.1985
Sc 0.0000 0.5000 0.0786
Ge 0.0000 0.0000 0.3317
Ge 0.0000 0.0000 0.5000
H 0.0000 0.0000 0.0949

Output
- Size of the total moment: 3.4 μB/cell

## Dy8Ge3Te4H (GGA-PBE)

Data for crystalline Dy8Ge3Te4H at its relaxed geometry.

a b c (Å): 8.3772 8.3772 21.0538
angles (deg): 90.00 90.00 120.00
Space group R-3m (No. 166, hexagonal axes)
Unique sites:
Dy 0.0000 0.0000 0.2402
Dy 0.0060 0.5030 0.7593
Ge 0.0000 0.5000 0.5000
Te 0.0000 0.0000 0.0000
Te 0.0000 0.5000 0.0000
H 0.0000 0.0000 0.5000

Output
- Size of the total moment: 0.0 μB/cell

## Dy5HfGe4 (GGA-PBE)

Data for crystalline Dy5HfGe4 at its relaxed geometry.

a b c (Å): 17.6836 4.0570 7.7841
angles (deg): 90.00 106.38 90.00
Space group C2/m (No. 12)
Unique sites:
Dy 0.0000 0.0000 0.0000
Dy 0.1681 0.5000 0.3398
Dy 0.1683 0.5000 0.8566
Hf 0.0000 0.0000 0.5000
Ge 0.9995 0.5000 0.2604
Ge 0.1646 0.0000 0.6003

Output
- Size of the total moment: 0.0 μB/cell

## DyHfGe (GGA-PBE)

Data for crystalline DyHfGe at its relaxed geometry.

a b c (Å): 4.6057 4.6057 3.8578
angles (deg): 90.00 90.00 120.00
Space group P3m1 (No. 156)
Unique sites:
Dy 0.0000 0.0000 0.0000
Hf 0.3333 0.6667 0.4900
Ge 0.6667 0.3333 0.5960

Output
- Size of the total moment: 0.0 μB/cell

## DyHf2Ge2 (GGA-PBE)

Data for crystalline DyHf2Ge2 at its relaxed geometry.

a b c (Å): 9.1299 10.6726 5.6331
angles (deg): 90.00 121.02 90.00
Space group C2/c (No. 15)
Unique sites:
Dy 0.0000 0.1079 0.2500
Hf 0.1753 0.4014 0.9871
Ge 0.0000 0.1814 0.7500
Ge 0.0000 0.3793 0.2500

Output
- Size of the total moment: 1.5 μB/cell

## DyHfGe2O8 (GGA-PBE)

Data for crystalline DyHfGe2O8 at its relaxed geometry.

a b c (Å): 6.9182 6.9182 6.3823
angles (deg): 90.00 90.00 90.00
Space group I-4m2 (No. 119)
Unique sites:
Dy 0.0000 0.0000 0.0000
Hf 0.0000 0.5000 0.2500
Ge 0.0000 0.0000 0.5000
Ge 0.0000 0.5000 0.7500
O 0.0000 0.1948 0.3194
O 0.0000 0.3212 0.9464

Output
- Formation energy (no corrections): -2.377 eV/atom
- Size of the total moment: 1.9 μB/cell

## Dy2HfGe3Pt4 (GGA-PBE)

Data for crystalline Dy2HfGe3Pt4 at its relaxed geometry.

a b c (Å): 4.1491 4.1491 11.2463
angles (deg): 90.00 90.00 90.00
Space group P-4m2 (No. 115)
Unique sites:
Dy 0.0000 0.5000 0.2240
Hf 0.0000 0.0000 0.5000
Ge 0.0000 0.5000 0.8645
Ge 0.5000 0.5000 0.5000
Pt 0.0000 0.0000 0.0000
Pt 0.0000 0.5000 0.6473
Pt 0.5000 0.5000 0.0000

Output
- Size of the total moment: 0.0 μB/cell

| no. | energy (eV for the cell shown) |
| --- | --- |
| 1 | -132.53 |
| 2 | -111.68 |
| 3 | -72.70 |
| 4 | -110.57 |
| 5 | -127.27 |
| 6 | -21.08 |
| 7 | -108.99 |
| 8 | -110.45 |
| 9 | -39.55 |
| 10 | -110.67 |
| 11 | -124.23 |
| 12 | -134.31 |
| 13 | -179.30 |
| 14 | -125.36 |
| 15 | -250.21 |
| 16 | -113.45 |
| 17 | -19.78 |
| 18 | -141.34 |
| 19 | -183.96 |
| 20 | -66.61 |